# 1
Ag3Hg | GGA-PBEsol | relaxed

```
data_Ag3Hg
_cell_length_a 4.119
_cell_length_b 4.119
_cell_length_c 4.119
_cell_angle_alpha 90.00
_cell_angle_beta 90.00
_cell_angle_gamma 90.00
_space_group_name_H-M_alt 'P 1'
_space_group_IT_number 1
loop_
_space_group_symop_operation_xyz
'x,y,z'
loop_
_atom_site_label
_atom_site_fract_x
_atom_site_fract_y
_atom_site_fract_z
Ag1 0.000 0.000 0.500
Ag2 0.000 0.500 0.000
Ag3 0.500 0.000 0.000
Hg1 0.500 0.500 0.500
```

Calculated values
Formation energy (eV per atom): -0.007
DOS(E_F) (states/eV/f.u.): 0.997
Uncorrected energy (eV for the cell shown): -10.53
Total magnetic moment (Bohr magnetons per cell): 0.00

=====

# 2
AgHg | GGA-PBEsol | relaxed

```
data_AgHg
_cell_length_a 3.101
_cell_length_b 3.101
_cell_length_c 3.881
_cell_angle_alpha 90.00
_cell_angle_beta 90.00
_cell_angle_gamma 90.00
_space_group_name_H-M_alt 'P 1'
_space_group_IT_number 1
loop_
_space_group_symop_operation_xyz
'x,y,z'
loop_
_atom_site_label
_atom_site_fract_x
_atom_site_fract_y
_atom_site_fract_z
Ag1 0.000 0.000 0.000
Hg1 0.500 0.500 0.500
```

Calculated values
Formation energy (eV per atom): 0.030
DOS(E_F) (states/eV/f.u.): 0.587
Uncorrected energy (eV for the cell shown): -3.82
Total magnetic moment (Bohr magnetons per cell): 0.00
Energy relative to the lowest polymorph listed for this composition (meV/atom): 13

=====

# 3
AgHg | GGA-PBEsol | relaxed

```
data_AgHg
_cell_length_a 3.095
_cell_length_b 3.095
_cell_length_c 4.574
_cell_angle_alpha 90.00
_cell_angle_beta 90.00
_cell_angle_gamma 120.00
_space_group_name_H-M_alt 'P 1'
_space_group_IT_number 1
loop_
_space_group_symop_operation_xyz
'x,y,z'
loop_
_atom_site_label
_atom_site_fract_x
_atom_site_fract_y
_atom_site_fract_z
Ag1 0.000 0.000 0.000
Hg1 0.667 0.333 0.500
```

Calculated values
Formation energy (eV per atom): 0.026
DOS(E_F) (states/eV/f.u.): 0.507
Uncorrected energy (eV for the cell shown): -3.83
Total magnetic moment (Bohr magnetons per cell): 0.00
Energy relative to the lowest polymorph listed for this composition (meV/atom): 10

=====

# 4
Ag3Hg | GGA-PBEsol | relaxed

```
data_Ag3Hg
_cell_length_a 3.296
_cell_length_b 3.296
_cell_length_c 6.497
_cell_angle_alpha 90.00
_cell_angle_beta 90.00
_cell_angle_gamma 90.00
_space_group_name_H-M_alt 'P 1'
_space_group_IT_number 1
loop_
_space_group_symop_operation_xyz
'x,y,z'
loop_
_atom_site_label
_atom_site_fract_x
_atom_site_fract_y
_atom_site_fract_z
Ag1 0.000 0.000 0.000
Ag2 0.500 0.500 0.238
Ag3 0.500 0.500 0.762
Hg1 0.000 0.000 0.500
```

Calculated values
Formation energy (eV per atom): 0.028
DOS(E_F) (states/eV/f.u.): 1.016
Uncorrected energy (eV for the cell shown): -10.39
Total magnetic moment (Bohr magnetons per cell): 0.00

=====

# 5
Ag3Hg | GGA-PBEsol | relaxed

```
data_Ag3Hg
_cell_length_a 5.248
_cell_length_b 5.248
_cell_length_c 5.248
_cell_angle_alpha 90.00
_cell_angle_beta 90.00
_cell_angle_gamma 90.00
_space_group_name_H-M_alt 'P 1'
_space_group_IT_number 1
loop_
_space_group_symop_operation_xyz
'x,y,z'
loop_
_atom_site_label
_atom_site_fract_x
_atom_site_fract_y
_atom_site_fract_z
Ag1 0.000 0.250 0.500
Ag2 0.000 0.750 0.500
Ag3 0.250 0.500 0.000
Ag4 0.500 0.000 0.250
Ag5 0.500 0.000 0.750
Ag6 0.750 0.500 0.000
Hg1 0.000 0.000 0.000
Hg2 0.500 0.500 0.500
```

Calculated values
Formation energy (eV per atom): 0.090
DOS(E_F) (states/eV/f.u.): 1.771
Uncorrected energy (eV for the cell shown): -20.28
Total magnetic moment (Bohr magnetons per cell): 0.00

=====

# 6
AgHg | GGA-PBEsol | relaxed

```
data_AgHg
_cell_length_a 4.796
_cell_length_b 2.990
_cell_length_c 5.201
_cell_angle_alpha 90.00
_cell_angle_beta 90.00
_cell_angle_gamma 90.00
_space_group_name_H-M_alt 'P 1'
_space_group_IT_number 1
loop_
_space_group_symop_operation_xyz
'x,y,z'
loop_
_atom_site_label
_atom_site_fract_x
_atom_site_fract_y
_atom_site_fract_z
Ag1 0.250 0.000 0.164
Ag2 0.750 0.000 0.836
Hg1 0.250 0.500 0.675
Hg2 0.750 0.500 0.325
```

Calculated values
Formation energy (eV per atom): 0.018
DOS(E_F) (states/eV/f.u.): 0.584
Uncorrected energy (eV for the cell shown): -7.69
Total magnetic moment (Bohr magnetons per cell): 0.00
Energy relative to the lowest polymorph listed for this composition (meV/atom): 1